#i
Computed, not measured: crystalline Ti2MnCo at its relaxed geometry at the PBE-GGA level of DFT.

Unit cell a=6.571 b=6.571 c=5.348 alpha=52.09 beta=52.09 gamma=90.00
Last column: magnetic moment on the atom in μB.
Atoms (fractional coordinates):
1 Mn 0.500 0.500 0.000  2.06
2 Mn 0.250 0.750 0.500  2.06
3 Co 0.000 0.000 0.000  0.30
4 Co 0.750 0.250 0.500  0.31
5 Ti 0.640 0.125 0.250  -0.53
6 Ti 0.110 0.625 0.250  -0.53
7 Ti 0.375 0.360 0.750  -0.51
8 Ti 0.875 0.890 0.750  -0.51

Output
The magnetic moment is 0.3027 μB/atom.

#ii
Computed, not measured: crystalline Ti2MnCo at its relaxed geometry at the PBE-GGA level of DFT.

Unit cell a=4.194 b=4.194 c=4.194 alpha=60.00 beta=60.00 gamma=60.00
Atoms (fractional coordinates):
1 Mn 0.000 0.000 0.000
2 Co 0.500 0.500 0.500
3 Ti 0.250 0.250 0.250
4 Ti 0.750 0.750 0.750

Output
The magnetic moment is 0.0005 μB/atom.

Most stable: #ii. Least stable: #i.

#i
Computed, not measured: crystalline Ti2Mn2Co at its relaxed geometry at the PBE-GGA level of DFT.

Unit cell a=5.949 b=5.949 c=3.840 alpha=90.00 beta=90.00 gamma=90.00
Last column: magnetic moment on the atom in μB.
Atoms (fractional coordinates):
1 Mn 0.372 0.872 0.000  1.00
2 Mn 0.872 0.628 0.000  1.00
3 Mn 0.628 0.128 0.000  1.00
4 Mn 0.128 0.372 0.000  1.00
5 Co 0.000 0.000 0.000  0.90
6 Co 0.500 0.500 0.000  0.90
7 Ti 0.180 0.680 0.500  -0.28
8 Ti 0.680 0.820 0.500  -0.28
9 Ti 0.820 0.320 0.500  -0.28
10 Ti 0.320 0.180 0.500  -0.28

Output
The magnetic moment is 0.4420 μB/atom.

#ii
Computed, not measured: crystalline Ti2Mn2Co at its relaxed geometry at the PBE-GGA level of DFT.

Unit cell a=2.982 b=3.045 c=7.441 alpha=78.19 beta=90.00 gamma=90.00
Last column: magnetic moment on the atom in μB.
Atoms (fractional coordinates):
1 Ti 0.500 0.396 0.208  -0.12
2 Ti 0.500 0.604 0.792  -0.12
3 Mn 0.000 0.195 0.611  0.79
4 Mn 0.000 0.805 0.389  0.79
5 Co 0.000 0.000 0.000  0.49

Output
The magnetic moment is 0.3539 μB/atom.

Most stable: #ii. Least stable: #i.

#i
Computed, not measured: crystalline Ti2MnCo2 at its relaxed geometry at the PBE-GGA level of DFT.

Unit cell a=5.920 b=5.920 c=3.776 alpha=90.00 beta=90.00 gamma=90.00
Atoms (fractional coordinates):
1 Mn 0.000 0.000 0.000
2 Mn 0.500 0.500 0.000
3 Co 0.365 0.865 0.000
4 Co 0.865 0.635 0.000
5 Co 0.635 0.135 0.000
6 Co 0.135 0.365 0.000
7 Ti 0.178 0.678 0.500
8 Ti 0.678 0.822 0.500
9 Ti 0.822 0.322 0.500
10 Ti 0.322 0.178 0.500

Output
The magnetic moment is 0.0001 μB/atom.

#ii
Computed, not measured: crystalline Ti2MnCo2 at its relaxed geometry at the PBE-GGA level of DFT.

Unit cell a=6.868 b=6.868 c=2.758 alpha=90.00 beta=90.00 gamma=90.00
Atoms (fractional coordinates):
1 Mn 0.000 0.000 0.000
2 Mn 0.500 0.500 0.000
3 Co 0.142 0.642 0.500
4 Co 0.642 0.858 0.500
5 Co 0.858 0.358 0.500
6 Co 0.358 0.142 0.500
7 Ti 0.340 0.840 0.000
8 Ti 0.840 0.660 0.000
9 Ti 0.660 0.160 0.000
10 Ti 0.160 0.340 0.000

Output
The magnetic moment is 0.0001 μB/atom.

#iii
Computed, not measured: crystalline Ti2MnCo2 at its relaxed geometry at the PBE-GGA level of DFT.

Unit cell a=2.819 b=3.871 c=6.452 alpha=72.54 beta=90.00 gamma=90.00
Last column: magnetic moment on the atom in μB.
Atoms (fractional coordinates):
1 Ti 0.500 0.375 0.250  -0.34
2 Ti 0.500 0.625 0.750  -0.34
3 Mn 0.000 0.000 0.000  2.64
4 Co 0.000 0.191 0.618  0.31
5 Co 0.000 0.809 0.382  0.31

Output
The magnetic moment is 0.5099 μB/atom.

Most stable: #iii. Least stable: #ii.

#i
Computed, not measured: crystalline TiMnCo6 at its relaxed geometry at the PBE-GGA level of DFT.

Unit cell a=6.161 b=6.161 c=10.068 alpha=90.00 beta=90.00 gamma=109.38
Last column: magnetic moment on the atom in μB.
Atoms (fractional coordinates):
1 Ti 0.746 0.254 0.250  0.43
2 Ti 0.254 0.746 0.250  0.43
3 Ti 0.500 0.500 0.496  0.42
4 Ti 0.500 0.500 0.004  0.42
5 Mn 0.746 0.254 0.750  2.67
6 Mn 0.254 0.746 0.750  2.67
7 Mn 0.000 0.000 0.501  2.60
8 Mn 0.000 0.000 0.999  2.60
9 Co 0.753 0.247 0.507  -0.97
10 Co 0.634 0.880 0.378  -0.92
11 Co 0.366 0.120 0.378  -0.92
12 Co 0.247 0.753 0.507  -0.97
13 Co 0.120 0.366 0.378  -0.92
14 Co 0.880 0.634 0.378  -0.92
15 Co 0.500 0.500 0.750  -1.00
16 Co 0.373 0.119 0.628  -1.04
17 Co 0.119 0.373 0.628  -1.04
18 Co 0.753 0.247 0.993  -0.97
19 Co 0.627 0.881 0.872  -1.04
20 Co 0.373 0.119 0.872  -1.04
21 Co 0.247 0.753 0.993  -0.97
22 Co 0.119 0.373 0.872  -1.04
23 Co 0.881 0.627 0.872  -1.04
24 Co 0.500 0.500 0.250  -0.81
25 Co 0.366 0.120 0.122  -0.92
26 Co 0.120 0.366 0.122  -0.92
27 Co 0.000 0.000 0.750  -1.06
28 Co 0.881 0.627 0.628  -1.04
29 Co 0.627 0.881 0.628  -1.04
30 Co 0.000 0.000 0.250  -1.06
31 Co 0.880 0.634 0.122  -0.92
32 Co 0.634 0.880 0.122  -0.92

Output
The magnetic moment is 0.3289 μB/atom.

#ii
Computed, not measured: crystalline TiMnCo6 at its relaxed geometry at the PBE-GGA level of DFT.

Unit cell a=4.360 b=4.360 c=6.351 alpha=75.58 beta=75.58 gamma=64.83
Last column: magnetic moment on the atom in μB.
Atoms (fractional coordinates):
1 Ti 0.500 0.500 0.500  -0.65
2 Mn 0.000 0.000 0.000  2.63
3 Co 0.054 0.539 0.298  1.24
4 Co 0.539 0.054 0.298  1.24
5 Co 0.461 0.946 0.702  1.24
6 Co 0.946 0.461 0.702  1.24
7 Co 0.361 0.361 0.942  1.54
8 Co 0.639 0.639 0.058  1.54

Output
The magnetic moment is 1.2370 μB/atom.

Most stable: #i. Least stable: #ii.

#i
Computed, not measured: crystalline TiMn2Co2 at its relaxed geometry at the PBE-GGA level of DFT.

Unit cell a=6.898 b=6.898 c=2.466 alpha=90.00 beta=90.00 gamma=90.00
Atoms (fractional coordinates):
1 Mn 0.174 0.674 0.500
2 Mn 0.674 0.826 0.500
3 Mn 0.826 0.326 0.500
4 Mn 0.326 0.174 0.500
5 Co 0.378 0.878 0.000
6 Co 0.878 0.622 0.000
7 Co 0.622 0.122 0.000
8 Co 0.122 0.378 0.000
9 Ti 0.000 0.000 0.000
10 Ti 0.500 0.500 0.000

Output
The magnetic moment is 0.0004 μB/atom.

#ii
Computed, not measured: crystalline TiMn2Co2 at its relaxed geometry at the PBE-GGA level of DFT.

Unit cell a=6.877 b=6.877 c=2.481 alpha=90.00 beta=90.00 gamma=90.00
Atoms (fractional coordinates):
1 Mn 0.381 0.881 0.000
2 Mn 0.881 0.619 0.000
3 Mn 0.619 0.119 0.000
4 Mn 0.119 0.381 0.000
5 Co 0.176 0.676 0.500
6 Co 0.676 0.824 0.500
7 Co 0.824 0.324 0.500
8 Co 0.324 0.176 0.500
9 Ti 0.000 0.000 0.000
10 Ti 0.500 0.500 0.000

Output
The magnetic moment is 0.0000 μB/atom.

Most stable: #ii. Least stable: #i.

#i
Computed, not measured: crystalline MnTl2Co at its relaxed geometry at the PBE-GGA level of DFT.

Unit cell a=4.670 b=4.670 c=4.670 alpha=60.00 beta=60.00 gamma=60.00
Last column: magnetic moment on the atom in μB.
Atoms (fractional coordinates):
1 Tl 0.250 0.250 0.250  -0.05
2 Tl 0.750 0.750 0.750  -0.05
3 Mn 0.000 0.000 0.000  3.61
4 Co 0.500 0.500 0.500  0.94

Output
The magnetic moment is 1.1248 μB/atom.

#ii
Computed, not measured: crystalline MnTl2Co at its relaxed geometry at the PBE-GGA level of DFT.

Unit cell a=4.776 b=4.776 c=4.776 alpha=60.00 beta=60.00 gamma=60.00
Last column: magnetic moment on the atom in μB.
Atoms (fractional coordinates):
1 Co 0.500 0.500 0.500  1.18
2 Mn 0.750 0.750 0.750  3.64
3 Tl 0.000 0.000 0.000  -0.02
4 Tl 0.250 0.250 0.250  -0.02

Output
The magnetic moment is 1.2069 μB/atom.

#iii
Computed, not measured: crystalline MnTl2Co at its relaxed geometry at the PBE-GGA level of DFT.

Unit cell a=3.630 b=4.260 c=5.566 alpha=66.69 beta=90.00 gamma=90.00
Last column: magnetic moment on the atom in μB.
Atoms (fractional coordinates):
1 Co 0.000 0.707 0.464  1.37
2 Mn 0.500 0.550 0.771  3.43
3 Tl 0.000 0.979 0.911  -0.03
4 Tl 0.500 0.263 0.353  -0.02

Output
The magnetic moment is 1.2218 μB/atom.

#iv
Computed, not measured: crystalline MnTl2Co at its relaxed geometry at the PBE-GGA level of DFT.

Unit cell a=5.312 b=5.312 c=5.312 alpha=134.72 beta=134.72 gamma=65.97
Last column: magnetic moment on the atom in μB.
Atoms (fractional coordinates):
1 Co 0.500 0.500 0.000  1.33
2 Mn 0.750 0.250 0.500  3.62
3 Tl 0.000 0.000 0.000  -0.04
4 Tl 0.250 0.750 0.500  -0.05

Output
The magnetic moment is 1.2220 μB/atom.

Most stable: #iii. Least stable: #ii.

#i
Computed, not measured: crystalline MnTl2Co at its relaxed geometry at the PBE-GGA level of DFT.

Unit cell a=7.516 b=7.516 c=6.079 alpha=51.81 beta=51.81 gamma=90.00
Last column: magnetic moment on the atom in μB.
Atoms (fractional coordinates):
1 Tl 0.648 0.125 0.250  -0.05
2 Tl 0.102 0.625 0.250  -0.06
3 Tl 0.375 0.352 0.750  -0.05
4 Tl 0.875 0.898 0.750  -0.06
5 Mn 0.500 0.500 0.000  3.85
6 Mn 0.250 0.750 0.500  3.85
7 Co 0.000 0.000 0.000  1.38
8 Co 0.750 0.250 0.500  1.37

Output
The magnetic moment is 1.3031 μB/atom.

#ii
Computed, not measured: crystalline MnTl2Co at its relaxed geometry at the PBE-GGA level of DFT.

Unit cell a=3.148 b=3.148 c=8.752 alpha=90.00 beta=90.00 gamma=115.01
Last column: magnetic moment on the atom in μB.
Atoms (fractional coordinates):
1 Co 0.500 0.500 0.250  1.38
2 Mn 0.500 0.500 0.750  3.71
3 Tl 0.000 0.000 0.013  -0.05
4 Tl 0.000 0.000 0.487  -0.05

Output
The magnetic moment is 1.2633 μB/atom.

Most stable: #ii. Least stable: #i.

#i
Computed, not measured: crystalline MnTl2Co at its relaxed geometry at the PBE-GGA level of DFT.

Unit cell a=6.304 b=6.304 c=4.512 alpha=68.74 beta=68.74 gamma=28.26
Last column: magnetic moment on the atom in μB.
Atoms (fractional coordinates):
1 Co 0.518 0.518 0.482  1.17
2 Mn 0.186 0.186 0.314  3.63
3 Tl 0.005 0.005 0.995  -0.03
4 Tl 0.791 0.791 0.709  -0.03

Output
The magnetic moment is 1.2167 μB/atom.

#ii
Computed, not measured: crystalline MnTl2Co at its relaxed geometry at the PBE-GGA level of DFT.

Unit cell a=4.573 b=4.573 c=3.483 alpha=90.00 beta=90.00 gamma=90.09
Last column: magnetic moment on the atom in μB.
Atoms (fractional coordinates):
1 Co 0.500 0.000 0.500  1.17
2 Mn 0.000 0.500 0.500  3.55
3 Tl 0.000 0.000 0.000  -0.06
4 Tl 0.500 0.500 0.000  -0.06

Output
The magnetic moment is 1.1647 μB/atom.

Most stable: #i. Least stable: #ii.